Record 1
Below is crystalline YTmMg at its relaxed geometry, with properties calculated at the PBE-GGA level.

The structure in POSCAR format:
```
YTmMg
1.0
1.808 -8.583 0.000
1.808 8.583 0.000
0.000 0.000 5.443
Y Tm Mg
2 2 2
direct
0.095 0.905 0.750 Y
0.905 0.095 0.250 Y
0.226 0.774 0.250 Tm
0.774 0.226 0.750 Tm
0.436 0.564 0.750 Mg
0.564 0.436 0.250 Mg
```

## Properties
Polymorph energy (0 for the lowest one) ... 0.000 eV per atom
Crystal system ... orthorhombic

---

Record 2
Below is crystalline CsLuZnTe3 at its relaxed geometry, with properties calculated at the PBE-GGA level.

The structure in POSCAR format:
```
CsLuZnTe3
1.0
10.007 0.000 0.000
0.000 4.401 0.000
-4.383 0.000 10.291
Cs Lu Zn Te
2 2 2 6
direct
0.236 0.250 0.267 Cs
0.764 0.750 0.733 Cs
0.326 0.750 0.863 Lu
0.674 0.250 0.137 Lu
0.081 0.250 0.610 Zn
0.919 0.750 0.390 Zn
0.110 0.250 0.855 Te
0.210 0.750 0.554 Te
0.472 0.750 0.153 Te
0.528 0.250 0.847 Te
0.790 0.250 0.446 Te
0.890 0.750 0.145 Te
```

## Properties
Polymorph energy (0 for the lowest one) ... 0.022 eV per atom
Crystal system ... monoclinic

---

Record 3
Below is crystalline YBeCoGe at its relaxed geometry, with properties calculated at the PBE-GGA level.

The structure in POSCAR format:
```
YBeCoGe
1.0
0.000 3.160 3.160
3.160 0.000 3.160
3.160 3.160 0.000
Y Be Co Ge
1 1 1 1
direct
0.000 0.000 0.000 Y
0.500 0.500 0.500 Be
0.750 0.750 0.750 Co
0.250 0.250 0.250 Ge
```

## Properties
Polymorph energy (0 for the lowest one) ... 0.190 eV per atom
Crystal system ... cubic

---

Record 4
Below is crystalline Gd3Mg3ZnGaAu at its relaxed geometry, with properties calculated at the PBE-GGA level.

The structure in POSCAR format:
```
Gd3Mg3ZnGaAu
1.0
7.422 0.000 0.000
-3.711 6.428 0.000
0.000 0.000 4.372
Gd Mg Zn Ga Au
3 3 1 1 1
direct
0.085 0.336 0.000 Gd
0.251 0.915 0.000 Gd
0.664 0.749 0.000 Gd
0.423 0.333 0.500 Mg
0.667 0.091 0.500 Mg
0.909 0.577 0.500 Mg
0.667 0.333 0.000 Zn
0.333 0.667 0.500 Ga
0.000 0.000 0.500 Au
```

## Properties
Raw total energy ... -0.12453 hartree per atom
Crystal system ... hexagonal